{
  "formula": "CeNd2Y",
  "functional": "PBE",
  "state": "relaxed",
  "lattice_angstrom": [[0.000, 4.084, 4.084], [4.084, 0.000, 4.084], [4.084, 4.084, 0.000]],
  "species": ["Ce", "Nd", "Nd", "Y"],
  "fractional_positions": [[0.000, 0.000, 0.000], [0.250, 0.250, 0.250], [0.750, 0.750, 0.750], [0.500, 0.500, 0.500]],
  "sg": "Fm-3m, No. 225",
  "delta_e_f_ev_per_atom": 0.19,
  "magnetic_moment_mub_per_cell": 3.28,
  "relative_energy_mev_per_atom": 134.7
}

=====

{
  "formula": "Th2SbIr",
  "functional": "PBE",
  "state": "relaxed",
  "lattice_angstrom": [[6.306, 0.000, 0.000], [0.000, 4.215, 0.000], [-2.880, 0.000, 8.211]],
  "species": ["Th", "Th", "Th", "Th", "Sb", "Sb", "Ir", "Ir"],
  "fractional_positions": [[0.169, 0.250, 0.400], [0.260, 0.750, 0.050], [0.740, 0.250, 0.950], [0.831, 0.750, 0.600], [0.379, 0.750, 0.700], [0.621, 0.250, 0.300], [0.107, 0.250, 0.805], [0.893, 0.750, 0.195]],
  "sg": "P2_1/m, No. 11",
  "e_form_raw_mev_per_atom": -919.6,
  "magnetic_moment_mub_per_cell": 0.00,
  "relative_energy_mev_per_atom": 15.5
}

=====

{
  "formula": "SmTm2Zn2Sn2",
  "functional": "PBE",
  "state": "relaxed",
  "lattice_angstrom": [[2.345, 1.354, 9.047], [-2.345, 1.354, 9.047], [0.000, -2.708, 9.047]],
  "species": ["Sm", "Tm", "Tm", "Zn", "Zn", "Sn", "Sn"],
  "fractional_positions": [[0.000, 0.000, 0.000], [0.132, 0.132, 0.132], [0.868, 0.868, 0.868], [0.425, 0.425, 0.425], [0.575, 0.575, 0.575], [0.265, 0.265, 0.265], [0.735, 0.735, 0.735]],
  "sg": "R-3m, No. 166",
  "delta_e_f_ev_per_atom": -0.32,
  "magnetic_moment_mub_per_cell": 0.00
}

=====

{
  "formula": "Sm2HgPb5",
  "functional": "PBE",
  "state": "relaxed",
  "lattice_angstrom": [[6.861, 0.000, 0.000], [0.000, 13.731, 0.000], [0.000, 0.000, 4.867]],
  "species": ["Sm", "Sm", "Sm", "Sm", "Hg", "Hg", "Pb", "Pb", "Pb", "Pb", "Pb", "Pb", "Pb", "Pb", "Pb", "Pb"],
  "fractional_positions": [[0.246, 0.126, 0.000], [0.254, 0.626, 0.000], [0.746, 0.374, 0.000], [0.754, 0.874, 0.000], [0.000, 0.500, 0.500], [0.500, 0.000, 0.500], [0.000, 0.000, 0.500], [0.007, 0.749, 0.500], [0.242, 0.378, 0.000], [0.258, 0.878, 0.000], [0.493, 0.249, 0.500], [0.500, 0.500, 0.500], [0.507, 0.751, 0.500], [0.742, 0.122, 0.000], [0.758, 0.622, 0.000], [0.993, 0.251, 0.500]],
  "sg": "Pbam, No. 55",
  "delta_e_f_ev_per_atom": -0.37,
  "magnetic_moment_mub_per_cell": 0.00
}

=====

{
  "formula": "Mg3AgSe",
  "functional": "PBE",
  "state": "relaxed",
  "lattice_angstrom": [[5.019, 0.000, 0.000], [0.000, 5.019, 0.000], [0.000, 0.000, 5.019]],
  "species": ["Mg", "Mg", "Mg", "Ag", "Se"],
  "fractional_positions": [[0.000, 0.000, 0.500], [0.000, 0.500, 0.000], [0.500, 0.000, 0.000], [0.500, 0.500, 0.500], [0.000, 0.000, 0.000]],
  "sg": "Pm-3m, No. 221",
  "e_form_raw_mev_per_atom": 51.5,
  "magnetic_moment_mub_per_cell": 0.00,
  "relative_energy_mev_per_atom": 2.5
}

=====

{
  "formula": "ScSb2Pb",
  "functional": "PBE",
  "state": "relaxed",
  "lattice_angstrom": [[5.192, 0.000, 0.000], [0.000, 5.192, 0.000], [0.000, 0.000, 3.958]],
  "species": ["Sc", "Sb", "Sb", "Pb"],
  "fractional_positions": [[0.000, 0.000, 0.000], [0.000, 0.500, 0.500], [0.500, 0.000, 0.500], [0.500, 0.500, 0.000]],
  "sg": "P4/mmm, No. 123",
  "e_form_raw_mev_per_atom": -217.8,
  "magnetic_moment_mub_per_cell": 0.00
}

=====

{
  "formula": "MgMoOsW",
  "functional": "PBE",
  "state": "relaxed",
  "lattice_angstrom": [[0.000, 3.148, 3.148], [3.148, 0.000, 3.148], [3.148, 3.148, 0.000]],
  "species": ["Mg", "Mo", "Os", "W"],
  "fractional_positions": [[0.000, 0.000, 0.000], [0.250, 0.250, 0.250], [0.750, 0.750, 0.750], [0.500, 0.500, 0.500]],
  "sg": "F-43m, No. 216",
  "delta_e_f_ev_per_atom": 0.19,
  "magnetic_moment_mub_per_cell": 0.00
}

=====

{
  "formula": "RbBeAl3",
  "functional": "PBE",
  "state": "relaxed",
  "lattice_angstrom": [[4.862, 0.000, 0.000], [0.000, 4.862, 0.000], [0.000, 0.000, 4.862]],
  "species": ["Rb", "Be", "Al", "Al", "Al"],
  "fractional_positions": [[0.000, 0.000, 0.000], [0.500, 0.500, 0.500], [0.000, 0.500, 0.500], [0.500, 0.000, 0.500], [0.500, 0.500, 0.000]],
  "sg": "Pm-3m, No. 221",
  "delta_e_f_ev_per_atom": 0.56,
  "magnetic_moment_mub_per_cell": 0.00,
  "relative_energy_mev_per_atom": 0.0
}

=====

{
  "formula": "SmSi6Pd12",
  "functional": "PBE",
  "state": "relaxed",
  "lattice_angstrom": [[5.636, 3.254, 2.794], [-5.636, 3.254, 2.794], [0.000, -6.508, 2.794]],
  "species": ["Sm", "Si", "Si", "Si", "Si", "Si", "Si", "Pd", "Pd", "Pd", "Pd", "Pd", "Pd", "Pd", "Pd", "Pd", "Pd", "Pd", "Pd"],
  "fractional_positions": [[0.000, 0.000, 0.000], [0.250, 0.251, 0.690], [0.250, 0.690, 0.250], [0.310, 0.750, 0.750], [0.690, 0.250, 0.250], [0.750, 0.310, 0.750], [0.750, 0.750, 0.310], [0.125, 0.500, 0.875], [0.125, 0.875, 0.500], [0.172, 0.434, 0.434], [0.434, 0.172, 0.434], [0.434, 0.434, 0.172], [0.500, 0.125, 0.875], [0.500, 0.875, 0.125], [0.566, 0.566, 0.828], [0.566, 0.828, 0.566], [0.828, 0.566, 0.566], [0.875, 0.125, 0.500], [0.875, 0.500, 0.125]],
  "sg": "R-3m, No. 166",
  "e_form_raw_mev_per_atom": -653.2,
  "magnetic_moment_mub_per_cell": 0.00
}

=====

{
  "formula": "Nd5Ag2Pt2",
  "functional": "PBE",
  "state": "relaxed",
  "lattice_angstrom": [[7.990, -3.837, 0.000], [7.990, 3.837, 0.000], [0.000, 0.000, 8.043]],
  "species": ["Nd", "Nd", "Nd", "Nd", "Nd", "Nd", "Nd", "Nd", "Nd", "Nd", "Ag", "Ag", "Ag", "Ag", "Pt", "Pt", "Pt", "Pt"],
  "fractional_positions": [[0.000, 0.000, 0.000], [0.041, 0.703, 0.674], [0.203, 0.541, 0.174], [0.297, 0.959, 0.674], [0.459, 0.797, 0.174], [0.500, 0.500, 0.500], [0.541, 0.203, 0.826], [0.703, 0.041, 0.326], [0.797, 0.459, 0.826], [0.959, 0.297, 0.326], [0.211, 0.211, 0.000], [0.289, 0.289, 0.500], [0.711, 0.711, 0.500], [0.789, 0.789, 0.000], [0.130, 0.870, 0.370], [0.370, 0.630, 0.870], [0.630, 0.370, 0.130], [0.870, 0.130, 0.630]],
  "sg": "Cmce, No. 64",
  "delta_e_f_ev_per_atom": -0.61,
  "magnetic_moment_mub_per_cell": 0.00,
  "relative_energy_mev_per_atom": 0.0
}

=====

{
  "formula": "K2TiV",
  "functional": "PBE",
  "state": "relaxed",
  "lattice_angstrom": [[-6.479, 6.479, 2.205], [6.479, -6.479, 2.205], [6.479, 6.479, -2.205]],
  "species": ["K", "K", "K", "K", "Ti", "Ti", "V", "V"],
  "fractional_positions": [[0.375, 0.216, 0.341], [0.784, 0.125, 0.159], [0.875, 0.034, 0.659], [0.966, 0.625, 0.841], [0.250, 0.750, 0.500], [0.500, 0.500, 0.000], [0.000, 0.000, 0.000], [0.750, 0.250, 0.500]],
  "sg": "I-42d, No. 122",
  "delta_e_f_ev_per_atom": 1.35,
  "magnetic_moment_mub_per_cell": 6.50,
  "relative_energy_mev_per_atom": 0.0
}

=====

{
  "formula": "LiLa2Pd4",
  "functional": "PBE",
  "state": "relaxed",
  "lattice_angstrom": [[-3.070, 3.070, 4.225], [3.070, -3.070, 4.225], [3.070, 3.070, -4.225]],
  "species": ["Li", "La", "La", "Pd", "Pd", "Pd", "Pd"],
  "fractional_positions": [[0.000, 0.000, 0.000], [0.250, 0.750, 0.500], [0.750, 0.250, 0.500], [0.279, 0.279, 0.558], [0.279, 0.721, 0.000], [0.721, 0.279, 0.000], [0.721, 0.721, 0.442]],
  "sg": "I4/mmm, No. 139",
  "delta_e_f_ev_per_atom": -0.57,
  "magnetic_moment_mub_per_cell": 0.00,
  "relative_energy_mev_per_atom": 0.0
}